Entry 1:
# DyPuSc2Te4

DyPuSc2Te4 after structural relaxation (PBE, the Alexandria database).

Computed properties:
* raw formation energy: -1.156 eV/atom
* crystal system: monoclinic
* uncorrected energy: -6.68 eV/atom
* space group: P2/m

abc: 4.248 7.416 7.423
angles: 109.04 90.00 90.00
Each line ends with the local moment (μB).
Sites, in units of the cell vectors:
Sc: 0.500 0.000 0.500  -0.06
Sc: 0.000 0.500 0.500  0.10
Pu: 0.500 0.500 0.000  5.56
Te: 0.000 0.242 0.733  -0.03
Te: 0.500 0.747 0.734  -0.01
Te: 0.500 0.253 0.266  -0.01
Te: 0.000 0.758 0.267  -0.03
Dy: 0.000 0.000 0.000  0.06

Entry 2:
# SbTe3N

SbTe3N after structural relaxation (PBE, the Alexandria database).

Computed properties:
* raw formation energy: 1.496 eV/atom
* crystal system: cubic
* uncorrected energy: -2.88 eV/atom
* energy above the most stable polymorph in this dataset: 0.8331 eV/atom
* space group: Pm-3m

abc: 5.786 5.786 5.786
angles: 90.00 90.00 90.00
Each line ends with the local moment (μB).
Sites, in units of the cell vectors:
Sb: 0.000 0.000 0.000  -0.01
Te: 0.000 0.000 0.500  -0.05
Te: 0.500 0.000 0.000  -0.07
Te: 0.000 0.500 0.000  -0.05
N: 0.500 0.500 0.500  1.88

Entry 3:
# BiPIr3

BiPIr3 after structural relaxation (PBE, the Alexandria database).

Computed properties:
* crystal system: cubic
* uncorrected energy: -6.75 eV/atom
* E_form: 2.130 eV per formula unit
* energy above the most stable polymorph in this dataset: 0.0000 eV/atom
* space group: Pm-3m

abc: 4.523 4.523 4.523
angles: 90.00 90.00 90.00
Sites, in units of the cell vectors:
Ir: 0.000 0.000 0.500
Ir: 0.000 0.500 0.000
Ir: 0.500 0.000 0.000
P: 0.000 0.000 0.000
Bi: 0.500 0.500 0.500

Entry 4:
# Cs2TaHBr6

Cs2TaHBr6 after structural relaxation (PBE, the Alexandria database).

Computed properties:
* crystal system: tetragonal
* uncorrected energy: -3.67 eV/atom
* space group: I4/mmm

abc: 7.884 7.884 7.893
angles: 60.04 60.04 90.00
Each line ends with the local moment (μB).
Sites, in units of the cell vectors:
Br: 0.768 0.768 0.464  0.01
Br: 0.232 0.232 0.536  0.01
Br: 0.232 0.768 0.000  0.01
Br: 0.768 0.232 0.000  0.01
Br: 0.768 0.768 0.000  0.01
Br: 0.232 0.232 0.000  0.01
Cs: 0.750 0.250 0.500  0.00
Cs: 0.250 0.750 0.500  0.00
Ta: 0.000 0.000 0.000  0.76
H: 0.500 0.500 0.000  0.37

Entry 5:
# SiSnSbTe2

SiSnSbTe2 after structural relaxation (PBE, the Alexandria database).

Computed properties:
* raw formation energy: 0.968 eV/atom
* crystal system: tetragonal
* uncorrected energy: -3.00 eV/atom
* energy above the most stable polymorph in this dataset: 0.5894 eV/atom
* space group: P4/mmm

abc: 5.641 5.641 5.642
angles: 90.00 90.00 90.00
Sites, in units of the cell vectors:
Te: 0.000 0.500 0.000
Te: 0.500 0.000 0.000
Si: 0.500 0.500 0.500
Sb: 0.000 0.000 0.500
Sn: 0.000 0.000 0.000

Entry 6:
# LaPr2Rh2

LaPr2Rh2 after structural relaxation (PBE, the Alexandria database).

Computed properties:
* crystal system: orthorhombic
* uncorrected energy: -6.43 eV/atom
* E_form: -2.961 eV per formula unit
* energy above the most stable polymorph in this dataset: 0.0000 eV/atom
* space group: Cmcm

abc: 4.022 7.074 10.166
angles: 90.00 90.00 106.51
Sites, in units of the cell vectors:
Rh: 0.000 0.000 0.897
Rh: 0.744 0.489 0.647
Rh: 0.000 0.000 0.397
Rh: 0.256 0.511 0.147
Pr: 0.645 0.289 0.329
Pr: 0.355 0.711 0.465
Pr: 0.355 0.711 0.829
Pr: 0.645 0.289 0.965
La: 0.905 0.810 0.147
La: 0.095 0.190 0.647

Entry 7:
# La2PmAg2

La2PmAg2 after structural relaxation (PBE, the Alexandria database).

Computed properties:
* crystal system: monoclinic
* uncorrected energy: -4.24 eV/atom
* E_form: -0.894 eV per formula unit
* energy above the most stable polymorph in this dataset: 0.0045 eV/atom
* space group: P2_1/m

abc: 5.182 6.684 9.259
angles: 113.62 90.00 90.00
Sites, in units of the cell vectors:
Ag: 0.250 0.980 0.615
Ag: 0.250 0.320 0.943
Ag: 0.750 0.020 0.385
Ag: 0.750 0.680 0.057
Pm: 0.750 0.285 0.738
Pm: 0.250 0.715 0.262
La: 0.750 0.669 0.547
La: 0.250 0.777 0.873
La: 0.250 0.331 0.453
La: 0.750 0.223 0.127

Entry 8:
# Dy2CoWN5

Dy2CoWN5 after structural relaxation (PBE, the Alexandria database).

Computed properties:
* raw formation energy: -0.746 eV/atom
* crystal system: orthorhombic
* uncorrected energy: -8.62 eV/atom
* space group: Cmc2_1

abc: 3.160 7.216 9.649
angles: 90.00 90.00 102.65
Sites, in units of the cell vectors:
N: 0.303 0.607 0.660
N: 0.661 0.323 0.506
N: 0.339 0.677 0.006
N: 0.022 0.045 0.020
N: 0.319 0.638 0.374
N: 0.978 0.955 0.520
N: 0.497 0.995 0.276
N: 0.503 0.005 0.776
N: 0.697 0.393 0.160
N: 0.681 0.362 0.874
Dy: 0.883 0.766 0.819
Dy: 0.116 0.231 0.695
Dy: 0.884 0.769 0.195
Dy: 0.117 0.234 0.319
Co: 0.553 0.106 0.954
Co: 0.447 0.894 0.454
W: 0.208 0.416 0.019
W: 0.792 0.584 0.519